1.
KSrCd2Au: optimized geometry, PBE.

a b c (Å): 5.521 5.521 5.843
angles (deg): 90.00 90.00 90.00
Element x y z (fractional)
Cd: 0.500 0.000 0.000
Cd: 0.000 0.500 0.000
Sr: 0.000 0.000 0.500
Au: 0.000 0.000 0.000
K: 0.500 0.500 0.500

Summary:
**Crystal system**: tetragonal
**Space-group type**: P4/mmm, No. 123

2.
KTiCdAu2: optimized geometry, PBE.

a b c (Å): 5.348 5.257 5.348
angles (deg): 90.00 90.00 90.00
Each line ends with the local moment (μB).
Element x y z (fractional)
Cd: 0.000 0.000 0.000  0.04
Ti: 0.000 0.500 0.000  1.79
Au: 0.500 0.000 0.000  0.00
Au: 0.000 0.000 0.500  0.00
K: 0.500 0.500 0.500  0.01

Summary:
**Crystal system**: tetragonal
**Space-group type**: P4/mmm, No. 123

3.
K2TlCd2Au: optimized geometry, PBE.

a b c (Å): 7.222 7.789 9.225
angles (deg): 114.97 113.04 90.00
Element x y z (fractional)
K: 0.164 0.442 0.329
K: 0.664 0.887 0.329
K: 0.336 0.113 0.671
K: 0.836 0.558 0.671
Cd: 0.590 0.366 0.180
Cd: 0.910 0.186 0.820
Cd: 0.410 0.634 0.820
Cd: 0.090 0.814 0.180
Tl: 0.250 0.000 0.000
Tl: 0.750 0.000 0.000
Au: 0.250 0.500 0.000
Au: 0.750 0.500 0.000

Summary:
**Crystal system**: orthorhombic
**Space-group type**: Ibam, No. 72

4.
K2Tl6CdAu: optimized geometry, PBE.

a b c (Å): 7.458 7.458 15.083
angles (deg): 75.69 75.69 60.00
Element x y z (fractional)
Cd: 0.500 0.500 0.500
Cd: 0.000 0.000 0.000
Tl: 0.787 0.787 0.200
Tl: 0.370 0.909 0.351
Tl: 0.213 0.775 0.800
Tl: 0.630 0.091 0.649
Tl: 0.787 0.225 0.200
Tl: 0.630 0.630 0.649
Tl: 0.370 0.370 0.351
Tl: 0.091 0.630 0.649
Tl: 0.775 0.213 0.800
Tl: 0.213 0.213 0.800
Tl: 0.225 0.787 0.200
Tl: 0.909 0.370 0.351
Au: 0.633 0.633 0.102
Au: 0.367 0.367 0.898
K: 0.295 0.295 0.115
K: 0.143 0.143 0.572
K: 0.857 0.857 0.428
K: 0.705 0.705 0.885

Summary:
**Crystal system**: trigonal
**Space-group type**: R-3m, No. 166

5.
K2Tl3CdAu4: optimized geometry, PBE.

a b c (Å): 4.982 4.982 11.626
angles (deg): 90.00 90.00 90.00
Element x y z (fractional)
Au: 0.000 0.500 0.372
Au: 0.500 0.000 0.628
Au: 0.500 0.500 0.000
Au: 0.000 0.000 0.000
Cd: 0.500 0.500 0.500
Tl: 0.500 0.000 0.874
Tl: 0.000 0.000 0.500
Tl: 0.000 0.500 0.126
K: 0.500 0.000 0.241
K: 0.000 0.500 0.759

Summary:
**Crystal system**: tetragonal
**Space-group type**: P-4m2, No. 115

6.
KTlCd2Au: optimized geometry, PBE.

a b c (Å): 5.365 5.365 6.048
angles (deg): 90.00 90.00 90.00
Element x y z (fractional)
Cd: 0.000 0.500 0.000
Cd: 0.500 0.000 0.000
Au: 0.000 0.000 0.000
K: 0.000 0.000 0.500
Tl: 0.500 0.500 0.500

Summary:
**Crystal system**: tetragonal
**E above lowest polymorph**: 156.6 meV per atom
**Space-group type**: P4/mmm, No. 123

7.
K2TlCdAu: optimized geometry, PBE.

a b c (Å): 6.212 6.212 5.377
angles (deg): 90.00 90.00 90.00
Element x y z (fractional)
Cd: 0.000 0.000 0.500
Au: 0.000 0.000 0.000
K: 0.000 0.500 0.000
K: 0.500 0.000 0.000
Tl: 0.500 0.500 0.500

Summary:
**Crystal system**: tetragonal
**E above lowest polymorph**: 0.0 meV per atom
**Space-group type**: P4/mmm, No. 123

8.
KTlCdAu3: optimized geometry, PBE.

a b c (Å): 6.412 6.680 8.435
angles (deg): 66.67 83.75 74.03
Element x y z (fractional)
Au: 0.098 0.617 0.151
Au: 0.402 0.232 0.151
Au: 0.598 0.768 0.849
Au: 0.750 0.182 0.636
Au: 0.250 0.818 0.364
Au: 0.902 0.383 0.849
K: 0.750 0.770 0.461
K: 0.250 0.230 0.539
Tl: 0.750 0.387 0.226
Tl: 0.250 0.613 0.774
Cd: 0.750 0.997 0.006
Cd: 0.250 0.003 0.994

Summary:
**Crystal system**: monoclinic
**Space-group type**: C2/c, No. 15

9.
KTlCd2Au: optimized geometry, PBE.

a b c (Å): 4.804 4.903 7.135
angles (deg): 110.10 109.67 90.00
Element x y z (fractional)
Tl: 0.195 0.695 0.390
K: 0.436 0.436 0.871
Au: 0.829 0.829 0.658
Cd: 0.049 0.049 0.099
Cd: 0.703 0.203 0.406

Summary:
**Crystal system**: orthorhombic
**E above lowest polymorph**: 0.0 meV per atom
**Space-group type**: Imm2, No. 44

10.
KTlCd2Au: optimized geometry, PBE.

a b c (Å): 5.395 5.395 5.649
angles (deg): 90.00 90.00 90.00
Element x y z (fractional)
K: 0.500 0.500 0.500
Cd: 0.500 0.000 0.000
Cd: 0.000 0.500 0.000
Au: 0.000 0.000 0.000
Tl: 0.000 0.000 0.500

Summary:
**Crystal system**: tetragonal
**E above lowest polymorph**: 83.1 meV per atom
**Space-group type**: P4/mmm, No. 123

11.
K2TlCdAu6: optimized geometry, PBE.

a b c (Å): 7.489 7.717 7.719
angles (deg): 42.48 81.46 96.91
Element x y z (fractional)
Au: 0.615 0.753 0.136
Au: 0.277 0.280 0.504
Au: 0.277 0.782 0.000
Au: 0.385 0.247 0.864
Au: 0.723 0.720 0.496
Au: 0.723 0.218 0.000
K: 0.183 0.748 0.566
K: 0.817 0.252 0.434
Tl: 0.500 0.500 0.000
Cd: 0.000 0.000 0.000

Summary:
**Crystal system**: triclinic
**Space-group type**: P-1, No. 2

12.
K2TlCd4Au3: optimized geometry, PBE.

a b c (Å): 4.834 4.834 11.952
angles (deg): 90.00 90.00 90.00
Element x y z (fractional)
K: 0.500 0.000 0.241
K: 0.000 0.500 0.759
Au: 0.500 0.000 0.873
Au: 0.000 0.500 0.127
Au: 0.000 0.000 0.500
Tl: 0.500 0.500 0.500
Cd: 0.000 0.500 0.356
Cd: 0.000 0.000 0.000
Cd: 0.500 0.500 0.000
Cd: 0.500 0.000 0.644

Summary:
**Crystal system**: tetragonal
**Space-group type**: P-4m2, No. 115

13.
K2TlCdAu: optimized geometry, PBE.

a b c (Å): 6.256 6.256 5.681
angles (deg): 90.00 90.00 90.00
Element x y z (fractional)
Cd: 0.500 0.500 0.500
Au: 0.000 0.000 0.000
K: 0.000 0.500 0.000
K: 0.500 0.000 0.000
Tl: 0.000 0.000 0.500

Summary:
**Crystal system**: tetragonal
**E above lowest polymorph**: 37.4 meV per atom
**Space-group type**: P4/mmm, No. 123

14.
K2Zn4CdAu3: optimized geometry, PBE.

a b c (Å): 4.573 4.573 11.103
angles (deg): 90.00 90.00 90.00
Element x y z (fractional)
Zn: 0.500 0.000 0.641
Zn: 0.000 0.500 0.359
Zn: 0.000 0.000 0.000
Zn: 0.500 0.500 0.000
Au: 0.500 0.000 0.877
Au: 0.000 0.000 0.500
Au: 0.000 0.500 0.123
Cd: 0.500 0.500 0.500
K: 0.000 0.500 0.757
K: 0.500 0.000 0.243

Summary:
**Crystal system**: tetragonal
**Space-group type**: P-4m2, No. 115

15.
KZnCdAu: optimized geometry, PBE.

a b c (Å): 4.644 4.644 6.715
angles (deg): 69.77 69.77 60.00
Element x y z (fractional)
Cd: 0.007 0.007 0.979
Zn: 0.615 0.615 0.156
K: 0.814 0.814 0.558
Au: 0.290 0.290 0.129

Summary:
**Crystal system**: trigonal
**Space-group type**: R3m, No. 160

16.
K2ZnCdAu2: optimized geometry, PBE.

a b c (Å): 6.616 7.909 8.516
angles (deg): 117.67 112.86 90.00
Element x y z (fractional)
Au: 0.429 0.659 0.858
Au: 0.929 0.199 0.858
Au: 0.071 0.801 0.142
Au: 0.571 0.341 0.142
K: 0.321 0.104 0.642
K: 0.679 0.896 0.358
K: 0.821 0.538 0.642
K: 0.179 0.462 0.358
Zn: 0.750 0.500 0.000
Zn: 0.250 0.500 0.000
Cd: 0.750 0.000 0.000
Cd: 0.250 0.000 0.000

Summary:
**Crystal system**: orthorhombic
**Space-group type**: Ibam, No. 72

17.
KZnCd2Au: optimized geometry, PBE.

a b c (Å): 5.384 5.384 5.033
angles (deg): 90.00 90.00 90.00
Element x y z (fractional)
Au: 0.000 0.000 0.000
Cd: 0.000 0.500 0.000
Cd: 0.500 0.000 0.000
K: 0.500 0.500 0.500
Zn: 0.000 0.000 0.500

Summary:
**Crystal system**: tetragonal
**E above lowest polymorph**: 0.0 meV per atom
**Space-group type**: P4/mmm, No. 123

18.
KZn2CdAu: optimized geometry, PBE.

a b c (Å): 5.024 5.024 5.352
angles (deg): 90.00 90.00 90.00
Element x y z (fractional)
K: 0.500 0.500 0.500
Zn: 0.500 0.000 0.000
Zn: 0.000 0.500 0.000
Cd: 0.000 0.000 0.500
Au: 0.000 0.000 0.000

Summary:
**Crystal system**: tetragonal
**Space-group type**: P4/mmm, No. 123

19.
KZnCd2Au: optimized geometry, PBE.

a b c (Å): 5.216 5.216 5.119
angles (deg): 90.00 90.00 90.00
Element x y z (fractional)
Cd: 0.500 0.000 0.000
Cd: 0.000 0.500 0.000
Au: 0.000 0.000 0.500
Zn: 0.000 0.000 0.000
K: 0.500 0.500 0.500

Summary:
**Crystal system**: tetragonal
**E above lowest polymorph**: 68.7 meV per atom
**Space-group type**: P4/mmm, No. 123

20.
KZnCd2Au4: optimized geometry, PBE.

a b c (Å): 4.712 4.712 10.038
angles (deg): 76.42 76.42 60.00
Element x y z (fractional)
Au: 0.410 0.410 0.770
Au: 0.864 0.864 0.407
Au: 0.136 0.136 0.593
Au: 0.590 0.590 0.230
Cd: 0.238 0.238 0.286
Cd: 0.762 0.762 0.714
Zn: 0.500 0.500 0.500
K: 0.000 0.000 0.000

Summary:
**Crystal system**: trigonal
**Space-group type**: R-3m, No. 166

The total energy results, record by record, are as follows: -8.72 -13.80 -20.94 -41.70 -25.19 -8.52 -8.90 -29.79 -9.31 -8.89 -26.82 -20.01 -8.71 -19.97 -7.34 -24.83 -7.92 -8.17 -7.58 -18.62 eV per cell.
The ΔE_f results, record by record, are as follows: -0.167 0.533 -0.134 -0.026 -0.187 0.010 -0.029 -0.114 -0.147 -0.064 -0.168 -0.196 0.009 -0.193 -0.195 -0.246 -0.089 -0.067 -0.020 -0.163 eV/atom.
The V results, record by record, are as follows: 178 150 424 696 289 174 207 319 147 164 280 279 222 232 115 355 146 135 139 186 Å³/cell.